Record 1
# Tm2MgPaN4

A relaxed structure of Tm2MgPaN4 (PBE, Alexandria via LeMat-Bulk).

```
Tm2MgPaN4
1.0
5.7438 0.0000 0.0000
0.0000 3.4322 0.0000
-1.8289 0.0000 5.5749
Tm Mg Pa N
2 1 1 4
Direct
0.0000 0.0000 0.0000
0.5000 0.5000 0.0000
0.0000 0.5000 0.5000
0.5000 0.0000 0.5000
0.2498 0.5000 0.2517
0.2625 0.0000 0.7439
0.7375 0.0000 0.2561
0.7502 0.5000 0.7483
```

**Final energy**: -65.51 eV/cell
**Magnetic moment**: 0.00 μB per formula unit
**Formation energy without anion corrections**: -146.8 kJ/mol of atoms

---

Record 2
# Mg2UPaN4

A relaxed structure of Mg2UPaN4 (PBE, Alexandria via LeMat-Bulk).

```
Mg2UPaN4
1.0
-2.3294 2.3294 4.9002
2.3294 -2.3294 4.9002
2.3294 2.3294 -4.9002
Mg U Pa N
2 1 1 4
Direct
0.0000 0.0000 0.0000
0.7500 0.2500 0.5000
0.5000 0.5000 0.0000
0.2500 0.7500 0.5000
0.2506 0.2506 0.0000
0.5007 0.0007 0.5000
0.7494 0.7494 0.0000
0.9993 0.4993 0.5000
```

**Final energy**: -66.36 eV/cell
**Magnetic moment**: 2.67 μB per formula unit
**Formation energy without anion corrections**: -109.5 kJ/mol of atoms